(1)
First-principles (meta-GGA SCAN) data for a crystal of Cr2GaS relaxed with PBEsol, as listed in Alexandria.

a = 4.080 Å, b = 4.080 Å, c = 4.080 Å
α = 60.00°, β = 60.00°, γ = 60.00°
Sites, in units of the cell vectors:
Cr1 0.250 0.250 0.250
Cr2 0.750 0.750 0.750
Ga1 0.000 0.000 0.000
S1 0.500 0.500 0.500

Calculated values
Symmetry: Fm-3m, No. 225
Formation energy from raw total energies, eV/atom: 0.2907

***

(2)
First-principles (meta-GGA SCAN) data for a crystal of LaAu3Cl relaxed with PBEsol, as listed in Alexandria.

a = 5.556 Å, b = 5.556 Å, c = 5.556 Å
α = 90.00°, β = 90.00°, γ = 90.00°
Sites, in units of the cell vectors:
La1 0.000 0.000 0.000
Au1 0.000 0.000 0.500
Au2 0.000 0.500 0.000
Au3 0.500 0.000 0.000
Cl1 0.500 0.500 0.500

Calculated values
Symmetry: Pm-3m, No. 221
Formation energy from raw total energies, eV/atom: 0.3522

***

(3)
First-principles (meta-GGA SCAN) data for a crystal of CsNaS2 relaxed with PBEsol, as listed in Alexandria.

a = 9.833 Å, b = 9.833 Å, c = 9.833 Å
α = 150.12°, β = 150.12°, γ = 42.77°
Sites, in units of the cell vectors:
Cs1 0.000 0.000 0.000
Cs2 0.750 0.250 0.500
Na1 0.250 0.750 0.500
Na2 0.500 0.500 0.000
S1 0.324 0.625 0.199
S2 0.375 0.574 0.699
S3 0.426 0.125 0.801
S4 0.875 0.676 0.301

Calculated values
ΔE to the lowest computed polymorph, eV/atom: 0.000
Symmetry: I-42d, No. 122
Formation energy from raw total energies, eV/atom: -0.8320

***

(4)
First-principles (meta-GGA SCAN) data for a crystal of TlHg2P relaxed with PBEsol, as listed in Alexandria.

a = 6.116 Å, b = 6.116 Å, c = 2.997 Å
α = 90.00°, β = 90.00°, γ = 125.44°
Sites, in units of the cell vectors:
Tl1 0.000 0.000 0.000
Hg1 0.000 0.500 0.500
Hg2 0.500 0.000 0.500
P1 0.500 0.500 0.000

Calculated values
ΔE to the lowest computed polymorph, eV/atom: 0.240
Symmetry: Cmmm, No. 65

***

(5)
First-principles (meta-GGA SCAN) data for a crystal of Li4MnCu3P4O16 relaxed with PBEsol, as listed in Alexandria.

a = 4.701 Å, b = 6.067 Å, c = 9.849 Å
α = 90.00°, β = 90.28°, γ = 90.00°
Sites, in units of the cell vectors:
Li1 0.000 0.240 0.000
Li2 0.000 0.760 0.000
Li3 0.497 0.242 0.519
Li4 0.497 0.758 0.519
Mn1 0.547 0.500 0.227
Cu1 0.058 0.000 0.296
Cu2 0.468 0.000 0.795
Cu3 0.956 0.500 0.727
P1 0.090 0.500 0.413
P2 0.430 0.500 0.917
P3 0.575 0.000 0.108
P4 0.927 0.000 0.608
O1 0.195 0.500 0.562
O2 0.232 0.299 0.342
O3 0.232 0.701 0.342
O4 0.248 0.000 0.109
O5 0.256 0.000 0.611
O6 0.291 0.295 0.851
O7 0.291 0.705 0.851
O8 0.319 0.500 0.069
O9 0.704 0.000 0.963
O10 0.706 0.207 0.180
O11 0.706 0.793 0.180
O12 0.757 0.500 0.915
O13 0.761 0.500 0.401
O14 0.790 0.204 0.678
O15 0.790 0.796 0.678
O16 0.812 0.000 0.459

Calculated values
Symmetry: Pm, No. 6
Formation energy from raw total energies, eV/atom: -2.1635

***

(6)
First-principles (meta-GGA SCAN) data for a crystal of KTiC2S relaxed with PBEsol, as listed in Alexandria.

a = 4.165 Å, b = 4.165 Å, c = 8.055 Å
α = 90.00°, β = 90.00°, γ = 90.00°
Sites, in units of the cell vectors:
K1 0.000 0.000 0.000
Ti1 0.000 0.000 0.500
C1 0.000 0.500 0.000
C2 0.500 0.000 0.000
S1 0.500 0.500 0.500

Calculated values
Symmetry: P4/mmm, No. 123
Formation energy from raw total energies, eV/atom: 3.1143

***

(7)
First-principles (meta-GGA SCAN) data for a crystal of ZnCd2Ir relaxed with PBEsol, as listed in Alexandria.

a = 2.975 Å, b = 4.016 Å, c = 5.556 Å
α = 90.00°, β = 90.14°, γ = 90.00°
Sites, in units of the cell vectors:
Zn1 0.000 0.000 0.000
Cd1 0.499 0.500 0.255
Cd2 0.501 0.500 0.745
Ir1 0.000 0.000 0.500

Calculated values
Electronic total energy, eV per formula unit: -144.9
Symmetry: P2/m, No. 10

***

(8)
First-principles (meta-GGA SCAN) data for a crystal of Zn2SbPt relaxed with PBEsol, as listed in Alexandria.

a = 4.963 Å, b = 4.963 Å, c = 4.963 Å
α = 131.87°, β = 131.87°, γ = 70.44°
Sites, in units of the cell vectors:
Zn1 0.250 0.750 0.500
Zn2 0.750 0.250 0.500
Sb1 0.000 0.000 0.000
Pt1 0.500 0.500 0.000

Calculated values
Symmetry: I4/mmm, No. 139
Formation energy from raw total energies, eV/atom: -0.0730